! Fe2RuPt PBE relaxed; values from VASP
! Formation enthalpy at 0 K (eV per atom): 0.0279
! Space group: No. 8
&SYSTEM
  ibrav = 0, nat = 4, ntyp = 3
/
ATOMIC_SPECIES
Fe 55.84 Fe.upf
Ru 101.07 Ru.upf
Pt 195.08 Pt.upf
CELL_PARAMETERS angstrom
4.418 -1.345 0.000
4.418 1.345 0.000
-0.874 0.000 4.501
ATOMIC_POSITIONS crystal
Fe 0.000 0.000 0.000
Fe 0.745 0.745 0.257
Ru 0.494 0.494 0.482
Pt 0.248 0.248 0.760


! ZrAlAu PBE relaxed; values from VASP
! Formation enthalpy at 0 K (eV per atom): -0.4966
! Space group: No. 10
&SYSTEM
  ibrav = 0, nat = 6, ntyp = 3
/
ATOMIC_SPECIES
Zr 91.22 Zr.upf
Al 26.98 Al.upf
Au 196.97 Au.upf
CELL_PARAMETERS angstrom
4.227 0.000 0.000
0.000 4.063 0.000
-2.099 0.000 6.472
ATOMIC_POSITIONS crystal
Zr 0.163 0.000 0.326
Zr 0.837 0.000 0.674
Al 0.000 0.500 0.000
Al 0.500 0.000 0.000
Au 0.351 0.500 0.703
Au 0.649 0.500 0.297


no.,electronic total energy (eV for the cell shown)
1,-32.13
2,-34.12